#1
First-principles (PBE-GGA) data for a relaxed Co5W7 crystal, as listed in OQMD.

a = 5.0540 Å, b = 5.0540 Å, c = 16.1229 Å
α = 90.00°, β = 90.00°, γ = 120.00°
With the nearest neighbours (Å) after each atom.
Space group P6_3/mmc (No. 194)
Symmetry-distinct sites (fractional):
1 Co 0.0000 0.0000 0.0979 (multiplicity 4)  9 W 2.84-3.02, 7 Co 2.98-3.16
2 Co 0.0000 0.5000 0.0000 (multiplicity 6)  2 W 2.35, 4 Co 2.53
3 W 0.1642 0.3284 0.2500 (multiplicity 6)  6 W 2.49-2.64
4 W 0.3333 0.6667 0.1141 (multiplicity 4)  3 Co 2.35
5 W 0.3333 0.6667 0.6461 (multiplicity 4)  6 Co 2.77-3.02, 9 W 2.96-3.03

***

#2
First-principles (PBE-GGA) data for a relaxed Co5W7 crystal, as listed in OQMD.

a = 4.9332 Å, b = 4.9332 Å, c = 15.8090 Å
α = 90.00°, β = 90.00°, γ = 120.00°
With the nearest neighbours (Å) after each atom.
Space group P6_3/mmc (No. 194)
Symmetry-distinct sites (fractional):
1 Co 0.0000 0.5000 0.0000 (multiplicity 6)  6 Co 2.34-2.47
2 Co 0.3333 0.6667 0.1176 (multiplicity 4)  3 Co 2.34, 3 W 2.54
3 W 0.0000 0.0000 0.0861 (multiplicity 4)  7 W 2.72-3.00, 9 Co 2.82-2.89
4 W 0.1650 0.3300 0.2500 (multiplicity 6)  4 W 2.44-2.49, 2 Co 2.54
5 W 0.3333 0.6667 0.6452 (multiplicity 4)  6 Co 2.70-2.88, 9 W 2.97-3.00

***

Best to worst by energy: #2, #1.

***

#1
First-principles (PBE-GGA) data for a relaxed Co7W8 crystal, as listed in OQMD.

a = 9.0979 Å, b = 9.0979 Å, c = 4.9262 Å
α = 90.00°, β = 90.00°, γ = 90.00°
With the nearest neighbours (Å) after each atom.
Space group P4_2/mnm (No. 136)
Symmetry-distinct sites (fractional):
1 Co 0.0000 0.0000 0.0000 (multiplicity 2)  4 Co 2.38, 4 W 2.63
2 Co 0.0696 0.2520 0.0000 (multiplicity 8)  2 Co 2.35-2.38
3 Co 0.0945 0.0945 0.5000 (multiplicity 4)  1 Co 2.43, 2 W 2.49
4 W 0.0389 0.3620 0.5000 (multiplicity 8)  5 Co 2.49-2.68, 1 W 2.61
5 W 0.1804 0.8196 0.2493 (multiplicity 8)  2 W 2.46-2.47, 5 Co 2.63-2.67

***

#2
First-principles (PBE-GGA) data for a relaxed Co7W8 crystal, as listed in OQMD.

a = 9.1126 Å, b = 9.1126 Å, c = 5.0323 Å
α = 90.00°, β = 90.00°, γ = 90.00°
With the nearest neighbours (Å) after each atom.
Space group P4_2/mnm (No. 136)
Symmetry-distinct sites (fractional):
1 Co 0.0000 0.0000 0.0000 (multiplicity 2)  8 W 2.53-2.68, 4 Co 2.82
2 Co 0.0373 0.3661 0.5000 (multiplicity 8)  4 W 2.49-2.67, 2 Co 2.50-2.53
3 Co 0.0990 0.0990 0.5000 (multiplicity 4)  3 Co 2.50-2.55
4 W 0.0605 0.2706 0.0000 (multiplicity 8)  5 Co 2.49-2.67, 5 W 2.68-2.71
5 W 0.1829 0.8171 0.2515 (multiplicity 8)  6 W 2.50-2.68, 1 Co 2.68

***

Best to worst by energy: #1, #2.

***

#1
First-principles (PBE-GGA) data for a relaxed Co7W5 crystal, as listed in OQMD.

a = 4.9535 Å, b = 4.9535 Å, c = 15.4431 Å
α = 90.00°, β = 90.00°, γ = 120.00°
With the nearest neighbours (Å) after each atom.
Space group P6_3/mmc (No. 194)
Symmetry-distinct sites (fractional):
1 Co 0.0000 0.0000 0.0866 (multiplicity 4)  10 Co 2.68-2.90, 3 W 2.89
2 Co 0.0000 0.5000 0.0000 (multiplicity 6)  6 Co 2.30-2.48
3 Co 0.3333 0.6667 0.1169 (multiplicity 4)  3 Co 2.30, 3 W 2.51
4 W 0.1650 0.3300 0.2500 (multiplicity 6)  4 W 2.45-2.50, 2 Co 2.51
5 W 0.3333 0.6667 0.6464 (multiplicity 4)  6 Co 2.68-2.90, 6 W 2.95

***

#2
First-principles (PBE-GGA) data for a relaxed Co7W5 crystal, as listed in OQMD.

a = 4.9813 Å, b = 4.9813 Å, c = 15.2641 Å
α = 90.00°, β = 90.00°, γ = 120.00°
With the nearest neighbours (Å) after each atom.
Space group P6_3/mmc (No. 194)
Symmetry-distinct sites (fractional):
1 Co 0.1559 0.3119 0.2500 (multiplicity 6)  4 Co 2.31-2.33
2 Co 0.3333 0.6667 0.1364 (multiplicity 4)  3 Co 2.31, 3 W 2.53
3 Co 0.3333 0.6667 0.6643 (multiplicity 4)  10 Co 2.62-2.91, 3 W 2.89
4 W 0.0000 0.0000 0.1012 (multiplicity 4)  6 Co 2.64-2.93, 6 W 2.93
5 W 0.0000 0.5000 0.0000 (multiplicity 6)  4 W 2.49, 2 Co 2.53

***

Best to worst by energy: #2, #1.

***

#1
First-principles (PBE-GGA) data for a relaxed Co7W5 crystal, as listed in OQMD.

a = 4.9373 Å, b = 4.9373 Å, c = 15.3699 Å
α = 90.00°, β = 90.00°, γ = 120.00°
With the nearest neighbours (Å) after each atom.
Space group P6_3/mmc (No. 194)
Symmetry-distinct sites (fractional):
1 Co 0.0000 0.0000 0.0937 (multiplicity 4)  7 Co 2.74-2.93, 9 W 2.86-3.04
2 Co 0.1545 0.3091 0.2500 (multiplicity 6)  4 Co 2.29-2.32
3 Co 0.3333 0.6667 0.1366 (multiplicity 4)  3 Co 2.32, 3 W 2.54
4 W 0.0000 0.5000 0.0000 (multiplicity 6)  4 W 2.47, 2 Co 2.54
5 W 0.3333 0.6667 0.6619 (multiplicity 4)  4 W 2.71-2.87, 9 Co 2.82-2.88

***

#2
First-principles (PBE-GGA) data for a relaxed Co7W5 crystal, as listed in OQMD.

a = 4.8957 Å, b = 4.8957 Å, c = 15.6242 Å
α = 90.00°, β = 90.00°, γ = 120.00°
With the nearest neighbours (Å) after each atom.
Space group P6_3/mmc (No. 194)
Symmetry-distinct sites (fractional):
1 Co 0.0000 0.5000 0.0000 (multiplicity 6)  6 Co 2.34-2.45
2 Co 0.3333 0.6667 0.1194 (multiplicity 4)  3 Co 2.34, 3 W 2.49
3 Co 0.3333 0.6667 0.6546 (multiplicity 4)  7 Co 2.80-2.98, 9 W 2.87-3.02
4 W 0.0000 0.0000 0.0860 (multiplicity 4)  4 W 2.69-2.92, 9 Co 2.79-2.87
5 W 0.1651 0.3302 0.2500 (multiplicity 6)  4 W 2.42-2.47, 2 Co 2.49

***

#3
First-principles (PBE-GGA) data for a relaxed Co7W5 crystal, as listed in OQMD.

a = 4.9945 Å, b = 4.9945 Å, c = 15.7287 Å
α = 90.00°, β = 90.00°, γ = 120.00°
With the nearest neighbours (Å) after each atom.
Space group P6_3/mmc (No. 194)
Symmetry-distinct sites (fractional):
1 Co 0.0000 0.0000 0.0867 (multiplicity 4)  4 Co 2.73-2.88, 9 W 2.84-3.01
2 Co 0.1502 0.3003 0.2500 (multiplicity 6)  2 Co 2.25, 2 W 2.34
3 Co 0.3333 0.6667 0.6611 (multiplicity 4)  10 Co 2.80-3.11, 6 W 2.90-2.92
4 W 0.0000 0.5000 0.0000 (multiplicity 6)  6 W 2.50-2.64
5 W 0.3333 0.6667 0.1405 (multiplicity 4)  3 Co 2.34

***

#4
First-principles (PBE-GGA) data for a relaxed Co7W5 crystal, as listed in OQMD.

a = 4.9891 Å, b = 4.9891 Å, c = 16.1080 Å
α = 90.00°, β = 90.00°, γ = 120.00°
With the nearest neighbours (Å) after each atom.
Space group P6_3/mmc (No. 194)
Symmetry-distinct sites (fractional):
1 Co 0.0000 0.0000 0.0892 (multiplicity 4)  10 Co 2.87-3.04, 6 W 2.91-2.95
2 Co 0.0000 0.5000 0.0000 (multiplicity 6)  2 W 2.35, 4 Co 2.49
3 Co 0.3333 0.6667 0.1504 (multiplicity 4)  6 Co 2.82-3.04, 9 W 2.94-2.97
4 W 0.1646 0.3293 0.7500 (multiplicity 6)  6 W 2.46-2.61
5 W 0.3333 0.6667 0.6153 (multiplicity 4)  3 Co 2.35, 3 W 2.61

***

Best to worst by energy: #1, #2, #3, #4.

***

#1
First-principles (PBE-GGA) data for a relaxed Co3W2 crystal, as listed in OQMD.

a = 8.8605 Å, b = 8.8605 Å, c = 4.8809 Å
α = 90.00°, β = 90.00°, γ = 90.00°
With the nearest neighbours (Å) after each atom.
Space group P4_2/mnm (No. 136)
Symmetry-distinct sites (fractional):
1 Co 0.0000 0.0000 0.0000 (multiplicity 2)  4 Co 2.40, 4 W 2.63
2 Co 0.0337 0.3700 0.5000 (multiplicity 8)  5 Co 2.38-2.63, 1 W 2.43
3 Co 0.0628 0.2637 0.0000 (multiplicity 8)  6 Co 2.40-2.63, 4 W 2.58-2.61
4 W 0.1060 0.1060 0.5000 (multiplicity 4)  2 Co 2.43, 1 W 2.66
5 W 0.1856 0.8144 0.2501 (multiplicity 8)  2 W 2.44, 5 Co 2.58-2.63

***

#2
First-principles (PBE-GGA) data for a relaxed Co3W2 crystal, as listed in OQMD.

a = 9.0951 Å, b = 9.0951 Å, c = 4.6696 Å
α = 90.00°, β = 90.00°, γ = 90.00°
With the nearest neighbours (Å) after each atom.
Space group P4_2/mnm (No. 136)
Symmetry-distinct sites (fractional):
1 Co 0.0000 0.0000 0.0000 (multiplicity 2)  8 Co 2.41-2.64, 4 W 2.66
2 Co 0.0663 0.2563 0.0000 (multiplicity 8)  6 Co 2.41-2.64, 4 W 2.56-2.62
3 Co 0.1842 0.8158 0.2495 (multiplicity 8)  2 Co 2.33-2.34
4 W 0.0346 0.3675 0.5000 (multiplicity 8)  2 W 2.49-2.51, 4 Co 2.56-2.62
5 W 0.0992 0.0992 0.5000 (multiplicity 4)  3 W 2.51-2.55, 6 Co 2.66-2.75

***

Best to worst by energy: #1, #2.